The following is a PBE calculation of a relaxed structure of InGeH, from Alexandria via LeMat-Bulk.

abc: 7.8962 3.4413 7.6154
angles: 90.00 90.00 90.00
Element x y z (fractional)
In 0.0000 0.2500 0.2486
In 0.0000 0.7500 0.7514
In 0.5000 0.2500 0.2514
In 0.5000 0.7500 0.7486
Ge 0.2491 0.2500 0.5327
Ge 0.2509 0.7500 0.0327
Ge 0.7491 0.2500 0.9673
Ge 0.7509 0.7500 0.4673
H 0.2472 0.7500 0.4502
H 0.2528 0.2500 0.9502
H 0.7472 0.7500 0.0498
H 0.7528 0.2500 0.5498

=====

The following is a PBE calculation of a relaxed structure of InGeH2, from Alexandria via LeMat-Bulk.

abc: 5.2717 5.2717 9.0536
angles: 90.00 90.00 90.00
Element x y z (fractional)
In 0.0000 0.0000 0.0000
In 0.0000 0.5000 0.2500
In 0.5000 0.0000 0.7500
In 0.5000 0.5000 0.5000
Ge 0.0000 0.0000 0.5000
Ge 0.0000 0.5000 0.7500
Ge 0.5000 0.0000 0.2500
Ge 0.5000 0.5000 0.0000
H 0.0821 0.2500 0.6250
H 0.2500 0.5821 0.8750
H 0.2500 0.9179 0.3750
H 0.4179 0.2500 0.1250
H 0.5821 0.7500 0.1250
H 0.7500 0.0821 0.3750
H 0.7500 0.4179 0.8750
H 0.9179 0.7500 0.6250

=====

The following is a PBE calculation of a relaxed structure of In2GeH, from Alexandria via LeMat-Bulk.

abc: 6.7630 6.7630 6.7630
angles: 90.00 90.00 90.00
Element x y z (fractional)
In 0.2500 0.2500 0.2500
In 0.2500 0.2500 0.7500
In 0.2500 0.7500 0.2500
In 0.2500 0.7500 0.7500
In 0.7500 0.2500 0.2500
In 0.7500 0.2500 0.7500
In 0.7500 0.7500 0.2500
In 0.7500 0.7500 0.7500
Ge 0.0000 0.0000 0.0000
Ge 0.0000 0.5000 0.5000
Ge 0.5000 0.0000 0.5000
Ge 0.5000 0.5000 0.0000
H 0.0000 0.0000 0.5000
H 0.0000 0.5000 0.0000
H 0.5000 0.0000 0.0000
H 0.5000 0.5000 0.5000

=====

The following is a PBE calculation of a relaxed structure of In2GeH2, from Alexandria via LeMat-Bulk.

abc: 3.5210 3.5210 13.1058
angles: 90.00 90.00 90.00
Element x y z (fractional)
In 0.0000 0.0000 0.1443
In 0.0000 0.0000 0.8557
In 0.5000 0.5000 0.3557
In 0.5000 0.5000 0.6443
Ge 0.0000 0.0000 0.5000
Ge 0.5000 0.5000 0.0000
H 0.0000 0.5000 0.2500
H 0.0000 0.5000 0.7500
H 0.5000 0.0000 0.2500
H 0.5000 0.0000 0.7500

=====

The following is a PBE calculation of a relaxed structure of InGeH, from Alexandria via LeMat-Bulk.

abc: 3.2352 6.1634 6.7765
angles: 90.91 103.62 104.47
Element x y z (fractional)
In 0.0000 0.0000 0.0000
In 0.2485 0.0682 0.4379
Ge 0.0173 0.3255 0.7234
Ge 0.2284 0.7425 0.7142
H 0.6564 0.5041 0.1519
H 0.7751 0.5424 0.2619

=====

The following is a PBE calculation of a relaxed structure of InGeH, from Alexandria via LeMat-Bulk.

abc: 4.6717 4.6749 6.1770
angles: 68.59 68.61 89.73
Element x y z (fractional)
In 0.0000 0.0000 0.0000
In 0.2292 0.7707 0.5002
Ge 0.4532 0.3928 0.2367
Ge 0.6069 0.5473 0.7645
H 0.6264 0.2058 0.7570
H 0.7946 0.3740 0.2447

=====

Number 1: spin magnetization 0.0000 μB per atom, DFT total energy -38.5 eV for the cell shown. Number 2: spin magnetization 0.0000 μB per atom, DFT total energy -49.1 eV for the cell shown. Number 3: spin magnetization 0.0000 μB per atom, DFT total energy -47.5 eV for the cell shown. Number 4: spin magnetization 0.0000 μB per atom, DFT total energy -29.9 eV for the cell shown. Number 5: spin magnetization 0.0000 μB per atom, DFT total energy -20.4 eV for the cell shown. Number 6: spin magnetization 0.0000 μB per atom, DFT total energy -20.4 eV for the cell shown.